Entry 1:
Material: TcPb2Cl
Method: DFT, PBE-GGA
State: optimized geometry

Geometry as POSCAR:
```
TcPb2Cl
1.0
-3.244 3.244 6.586
3.244 -3.244 6.586
3.244 3.244 -6.586
Tc Pb Cl
2 4 2
direct
0.000 0.000 0.000
0.750 0.250 0.500
0.066 0.625 0.941
0.375 0.316 0.441
0.684 0.125 0.059
0.875 0.934 0.559
0.250 0.750 0.500
0.500 0.500 0.000
```

DOS(E_F): 3.55 states/eV per cell

---

Entry 2:
Material: TcPb2Cl
Method: DFT, PBE-GGA
State: optimized geometry

Geometry as POSCAR:
```
TcPb2Cl
1.0
7.409 -1.634 0.000
7.409 1.634 0.000
-0.017 0.000 4.411
Tc Pb Cl
1 2 1
direct
0.000 0.000 0.000
0.468 0.468 0.500
0.667 0.667 0.002
0.262 0.262 0.503
```

DOS(E_F): 2.21 states/eV per cell

---

Entry 3:
Material: TcPb2Cl
Method: DFT, PBE-GGA
State: optimized geometry

Geometry as POSCAR:
```
TcPb2Cl
1.0
2.409 -2.415 0.000
2.409 2.415 0.000
0.000 0.000 7.966
Tc Pb Cl
1 2 1
direct
0.000 0.000 0.000
0.500 0.500 0.214
0.500 0.500 0.786
0.000 0.000 0.500
```

DOS(E_F): 3.89 states/eV per cell

---

Entry 4:
Material: Tc2PbCl
Method: DFT, PBE-GGA
State: optimized geometry

Geometry as POSCAR:
```
Tc2PbCl
1.0
1.540 -2.735 0.000
1.540 2.735 0.000
0.000 0.000 8.584
Tc Pb Cl
2 1 1
direct
0.000 0.000 0.233
0.000 0.000 0.767
0.500 0.500 0.500
0.500 0.500 0.000
```

DOS(E_F): 5.74 states/eV per cell

---

Energy relative to the elements, uncorrected / eV per formula unit: 2.26 0.97 0.91 3.62
Energy above the lowest structure with this stoichiometry / eV/atom: 0.381 0.057 0.042 0.861